No. 1
Ca2LaPr2 (PBE, relaxed); E above lowest polymorph = 0.0 meV per atom; size of the total moment = 0.0 μB/cell; total energy = -18.352 eV per cell; DFT formation energy = 0.028 eV/atom; symmetry = No. 12
1.0
3.698 0.000 0.690
1.830 3.258 0.447
-1.019 -1.561 15.709
Ca La Pr
2 1 2
Cartesian
1.124 -0.426 14.476 Ca
3.385 2.124 2.370 Ca
0.405 0.849 8.078 La
1.700 1.840 11.394 Pr
2.809 -0.143 5.452 Pr



No. 2
Ac3Pr8Sm2 (PBE, relaxed); size of the total moment = 0.0 μB/cell; total energy = -56.855 eV per cell; DFT formation energy = 0.242 eV/atom; symmetry = No. 12
1.0
5.858 0.000 0.712
0.000 8.143 0.000
-1.306 -4.072 10.557
Sm Pr Ac
2 8 3
Cartesian
2.272 4.072 5.856 Sm
2.281 0.000 5.413 Sm
-0.450 4.072 3.793 Pr
1.913 1.644 8.521 Pr
-0.944 4.072 7.692 Pr
5.003 0.000 7.476 Pr
1.913 -1.644 8.521 Pr
2.640 2.428 2.748 Pr
5.497 0.000 3.577 Pr
2.640 5.716 2.748 Pr
2.929 0.000 0.356 Ac
0.000 2.327 0.000 Ac
0.000 5.816 0.000 Ac